No. 1
PmUZn17 (PBE-GGA, relaxed); crystal system = trigonal; space group = R3m, No. 160
1.0
-1.745 4.278 5.003
-6.102 1.757 -2.462
-3.698 -4.406 3.646
Pm Zn U
1 17 1
direct
0.664 0.664 0.664
0.165 0.645 0.645
0.001 0.704 0.295
0.842 0.350 0.350
0.350 0.842 0.350
0.000 0.500 0.000
0.001 0.295 0.704
0.295 0.001 0.704
0.645 0.645 0.165
0.645 0.165 0.645
0.704 0.295 0.001
0.101 0.101 0.101
0.295 0.704 0.001
0.902 0.902 0.902
0.500 0.000 0.000
0.704 0.001 0.295
0.350 0.350 0.842
0.000 0.000 0.500
0.335 0.335 0.335

---

No. 2
PmY2V (PBE-GGA, relaxed); crystal system = trigonal; space group = R-3m, No. 166
1.0
-0.914 0.113 3.280
-1.243 -2.784 1.519
9.989 -3.986 4.689
Pm V Y
1 1 2
direct
0.500 0.500 0.500
0.000 0.000 0.000
0.081 0.081 0.757
0.919 0.919 0.243

---

No. 3
Pm2YV (PBE-GGA, relaxed); crystal system = trigonal; space group = R-3m, No. 166
1.0
-1.559 2.937 0.870
-3.408 0.300 -0.330
-3.055 -2.873 11.021
Y V Pm
1 1 2
direct
0.500 0.500 0.500
0.000 0.000 0.000
0.081 0.081 0.756
0.919 0.919 0.244

---

No. 4
PmZrV4 (PBE-GGA, relaxed); crystal system = cubic; space group = F-43m, No. 216
1.0
-4.322 -2.859 -1.086
0.482 -4.809 -2.162
-1.109 -4.313 2.864
V Zr Pm
4 1 1
direct
0.626 0.626 0.121
0.626 0.626 0.626
0.626 0.121 0.626
0.121 0.626 0.626
0.000 0.000 0.000
0.250 0.250 0.250

---

No. 5
PmZrV (PBE-GGA, relaxed); crystal system = tetragonal; space group = I4/mmm, No. 139
1.0
3.232 0.000 0.000
0.000 3.232 0.000
-1.616 -1.616 13.570
Pm V Zr
2 2 2
direct
0.566 0.566 0.132
0.434 0.434 0.868
0.728 0.728 0.456
0.272 0.272 0.544
0.840 0.840 0.680
0.160 0.160 0.320

---

No. 6
Pm4W (PBE-GGA, relaxed); crystal system = cubic; space group = Pm-3m, No. 221
1.0
5.600 0.000 0.000
0.000 5.600 0.000
0.000 0.000 5.600
W Pm
1 4
direct
0.500 0.500 0.500
0.000 0.500 0.500
0.500 0.000 0.500
0.500 0.500 0.000
0.000 0.000 0.000

---

No. 7
PmW2 (PBE-GGA, relaxed); crystal system = cubic; space group = Fd-3m, No. 227
1.0
-0.781 -1.235 -5.408
4.207 -2.134 -3.021
-0.173 -5.349 -1.655
Pm W
2 4
direct
0.250 0.250 0.250
0.000 0.000 0.000
0.625 0.625 0.625
0.125 0.625 0.625
0.625 0.125 0.625
0.625 0.625 0.125

---

No. 8
PmW4 (PBE-GGA, relaxed); crystal system = cubic; space group = Pm-3m, No. 221
1.0
4.760 0.000 0.000
0.000 4.760 0.000
0.000 0.000 4.760
W Pm
4 1
direct
0.500 0.000 0.500
0.000 0.000 0.000
0.000 0.500 0.500
0.500 0.500 0.000
0.500 0.500 0.500

---

No. 9
PmZrW4 (PBE-GGA, relaxed); crystal system = cubic; space group = F-43m, No. 216
1.0
5.511 0.000 0.000
2.756 4.773 0.000
2.756 1.591 4.500
W Pm Zr
4 1 1
direct
0.625 0.125 0.625
0.125 0.625 0.625
0.625 0.625 0.125
0.625 0.625 0.625
0.250 0.250 0.250
0.000 0.000 0.000

---

No. 10
Pm5Y3 (PBE-GGA, relaxed); crystal system = tetragonal; space group = P4/mmm, No. 123
1.0
3.624 0.000 0.000
0.000 3.624 0.000
0.000 0.000 20.481
Pm Y
5 3
direct
0.500 0.500 0.375
0.000 0.000 0.000
0.000 0.000 0.249
0.000 0.000 0.751
0.500 0.500 0.625
0.500 0.500 0.876
0.500 0.500 0.124
0.000 0.000 0.500

---

No. 11
Pm3Y13 (PBE-GGA, relaxed); crystal system = orthorhombic; space group = Amm2, No. 38
1.0
7.175 0.008 0.000
-0.017 7.175 0.000
0.000 0.000 10.119
Y Pm
13 3
direct
0.251 0.251 0.000
0.500 0.000 0.750
0.500 0.000 0.250
0.251 0.749 0.000
0.749 0.251 0.500
0.251 0.250 0.500
0.500 0.500 0.251
0.749 0.749 0.000
0.750 0.749 0.500
0.000 0.500 0.250
0.000 0.500 0.750
0.251 0.749 0.500
0.500 0.500 0.749
0.750 0.250 0.000
0.000 0.000 0.250
0.000 0.000 0.750

---

No. 12
PmY2 (PBE-GGA, relaxed); crystal system = cubic; space group = Fd-3m, No. 227
1.0
6.678 0.000 0.000
3.339 5.784 0.000
3.339 1.928 5.453
Y Pm
4 2
direct
0.125 0.625 0.625
0.625 0.125 0.625
0.625 0.625 0.625
0.625 0.625 0.125
0.000 0.000 0.000
0.250 0.250 0.250

---

No. 13
Pm2Y (PBE-GGA, relaxed); crystal system = cubic; space group = Fd-3m, No. 227
1.0
-5.788 -2.255 2.431
-4.050 -3.632 -3.860
-0.801 -6.512 1.204
Y Pm
2 4
direct
0.250 0.250 0.250
0.000 0.000 0.000
0.625 0.625 0.125
0.625 0.625 0.625
0.625 0.125 0.625
0.125 0.625 0.625

---

No. 14
Pm5Y3 (PBE-GGA, relaxed); crystal system = orthorhombic; space group = Pmmm, No. 47
1.0
-1.313 -3.989 -2.898
4.518 0.270 -2.419
4.085 -6.369 6.916
Pm Y
5 3
direct
0.500 0.500 0.000
0.000 0.500 0.749
0.000 0.000 0.500
0.000 0.500 0.251
0.000 0.000 0.000
0.500 0.000 0.251
0.500 0.500 0.500
0.500 0.000 0.749

---

No. 15
Pm5Y4 (PBE-GGA, relaxed); crystal system = monoclinic; space group = C2/m, No. 12
1.0
-0.293 -2.047 4.666
7.352 0.234 3.364
-1.708 5.888 5.276
Y Pm
4 5
direct
0.334 0.000 0.333
0.334 0.667 0.666
0.666 0.334 0.333
0.666 0.667 0.000
0.000 0.334 0.666
0.333 0.334 0.001
0.000 0.000 0.000
0.667 0.999 0.666
0.000 0.667 0.333

---

No. 16
Pm5Y (PBE-GGA, relaxed); crystal system = orthorhombic; space group = Cmmm, No. 65
1.0
5.145 0.000 0.000
0.000 5.147 0.000
0.000 -2.573 7.723
Pm Y
5 1
direct
0.000 0.666 0.332
0.500 0.500 0.000
0.000 0.334 0.668
0.500 0.167 0.333
0.500 0.833 0.667
0.000 0.000 0.000

---

No. 17
PmY7 (PBE-GGA, relaxed); crystal system = cubic; space group = Fm-3m, No. 225
1.0
-5.442 -3.696 2.814
0.338 -7.137 0.374
0.762 -3.217 6.345
Y Pm
7 1
direct
0.000 0.500 0.500
0.500 0.000 0.000
0.500 0.500 0.000
0.000 0.000 0.500
0.000 0.500 0.000
0.500 0.500 0.500
0.500 0.000 0.500
0.000 0.000 0.000

---

No. 18
Pm7Y2 (PBE-GGA, relaxed); crystal system = trigonal; space group = P-31m, No. 162
1.0
6.296 0.000 0.000
-3.148 5.453 0.000
0.000 0.000 8.891
Y Pm
2 7
direct
0.667 0.333 0.000
0.333 0.667 0.000
0.333 0.000 0.668
0.333 0.333 0.332
0.667 0.000 0.332
0.667 0.667 0.668
0.000 0.667 0.332
0.000 0.000 0.000
0.000 0.333 0.668

---

No. 19
Pm7Y6 (PBE-GGA, relaxed); crystal system = trigonal; space group = R-3m, No. 166
1.0
6.496 0.000 1.305
3.117 5.699 1.305
0.919 0.545 12.247
Pm Y
7 6
direct
0.922 0.406 0.266
0.594 0.078 0.734
0.594 0.594 0.734
0.078 0.594 0.734
0.500 0.500 0.500
0.406 0.406 0.266
0.406 0.922 0.266
0.853 0.853 0.442
0.046 0.046 0.863
0.147 0.147 0.558
0.954 0.954 0.137
0.666 0.666 0.003
0.334 0.334 0.997

---

No. 20
Pm5Y7 (PBE-GGA, relaxed); crystal system = monoclinic; space group = C2/m, No. 12
1.0
3.578 0.000 0.564
1.434 9.107 2.531
-0.093 0.202 12.218
Y Pm
7 5
direct
0.666 0.666 0.001
0.028 0.695 0.250
0.334 0.334 0.999
0.972 0.305 0.750
0.638 0.973 0.751
0.500 0.500 0.500
0.362 0.027 0.249
0.000 0.000 0.000
0.306 0.638 0.750
0.694 0.362 0.250
0.834 0.833 0.499
0.166 0.167 0.501

---

| no. | total energy (eV/atom) |
| --- | --- |
| 1 | -2.134 |
| 2 | -6.075 |
| 3 | -5.639 |
| 4 | -8.041 |
| 5 | -7.263 |
| 6 | -5.844 |
| 7 | -9.923 |
| 8 | -7.891 |
| 9 | -10.731 |
| 10 | -5.376 |
| 11 | -6.124 |
| 12 | -5.590 |
| 13 | -5.090 |
| 14 | -5.375 |
| 15 | -5.497 |
| 16 | -5.022 |
| 17 | -6.228 |
| 18 | -5.118 |
| 19 | -5.320 |
| 20 | -5.749 |